No. 1
Ho2In8Ni | PBE | relaxed

CIF file:
```
data_Ho2In8Ni
_cell_length_a 4.627
_cell_length_b 4.627
_cell_length_c 12.093
_cell_angle_alpha 90.00
_cell_angle_beta 90.00
_cell_angle_gamma 90.00
_space_group_name_H-M_alt 'P 1'
_space_group_IT_number 1
loop_
_space_group_symop_operation_xyz
'x,y,z'
loop_
_atom_site_label
_atom_site_type_symbol
_atom_site_fract_x
_atom_site_fract_y
_atom_site_fract_z
Ho1 Ho 0.000 0.000 0.192
Ho2 Ho 0.000 0.000 0.808
In1 In 0.000 0.500 0.000
In2 In 0.000 0.500 0.378
In3 In 0.000 0.500 0.622
In4 In 0.500 0.000 0.000
In5 In 0.500 0.000 0.378
In6 In 0.500 0.000 0.622
In7 In 0.500 0.500 0.193
In8 In 0.500 0.500 0.807
Ni1 Ni 0.000 0.000 0.500
```

Formation enthalpy at 0 K   -0.32 eV/atom
V   258.9 Å³/cell
Crystal system   tetragonal

---

No. 2
Ho6InNi | PBE | relaxed

CIF file:
```
data_Ho6InNi
_cell_length_a 6.922
_cell_length_b 6.926
_cell_length_c 7.160
_cell_angle_alpha 90.05
_cell_angle_beta 118.84
_cell_angle_gamma 119.96
_space_group_name_H-M_alt 'P 1'
_space_group_IT_number 1
loop_
_space_group_symop_operation_xyz
'x,y,z'
loop_
_atom_site_label
_atom_site_type_symbol
_atom_site_fract_x
_atom_site_fract_y
_atom_site_fract_z
Ho1 Ho 0.051 0.079 0.260
Ho2 Ho 0.288 0.709 0.259
Ho3 Ho 0.319 0.529 0.741
Ho4 Ho 0.681 0.471 0.259
Ho5 Ho 0.712 0.291 0.741
Ho6 Ho 0.949 0.921 0.740
In1 In 0.500 0.000 0.000
Ni1 Ni 0.500 0.500 0.500
```

Formation enthalpy at 0 K   0.02 eV/atom
V   246.9 Å³/cell
Crystal system   triclinic

---

No. 3
Ho2InNi | PBE | relaxed

CIF file:
```
data_Ho2InNi
_cell_length_a 9.674
_cell_length_b 9.674
_cell_length_c 9.674
_cell_angle_alpha 22.77
_cell_angle_beta 22.77
_cell_angle_gamma 22.77
_space_group_name_H-M_alt 'P 1'
_space_group_IT_number 1
loop_
_space_group_symop_operation_xyz
'x,y,z'
loop_
_atom_site_label
_atom_site_type_symbol
_atom_site_fract_x
_atom_site_fract_y
_atom_site_fract_z
Ho1 Ho 0.114 0.114 0.114
Ho2 Ho 0.886 0.886 0.886
In1 In 0.000 0.000 0.000
Ni1 Ni 0.500 0.500 0.500
```

Distance to the lowest polymorph of the same formula   0.3779 eV per atom
Formation enthalpy at 0 K   -0.07 eV/atom
V   119.0 Å³/cell
Crystal system   trigonal

---

No. 4
HoIn2Ni9 | PBE | relaxed

CIF file:
```
data_HoIn2Ni9
_cell_length_a 8.242
_cell_length_b 8.242
_cell_length_c 4.832
_cell_angle_alpha 90.00
_cell_angle_beta 90.00
_cell_angle_gamma 90.00
_space_group_name_H-M_alt 'P 1'
_space_group_IT_number 1
loop_
_space_group_symop_operation_xyz
'x,y,z'
loop_
_atom_site_label
_atom_site_type_symbol
_atom_site_fract_x
_atom_site_fract_y
_atom_site_fract_z
Ho1 Ho 0.000 0.000 0.000
Ho2 Ho 0.500 0.500 0.000
In1 In 0.125 0.375 0.000
In2 In 0.375 0.875 0.000
In3 In 0.625 0.125 0.000
In4 In 0.875 0.625 0.000
Ni1 Ni 0.000 0.500 0.500
Ni2 Ni 0.064 0.206 0.500
Ni3 Ni 0.177 0.677 0.249
Ni4 Ni 0.177 0.677 0.751
Ni5 Ni 0.206 0.936 0.500
Ni6 Ni 0.294 0.436 0.500
Ni7 Ni 0.323 0.177 0.249
Ni8 Ni 0.323 0.177 0.751
Ni9 Ni 0.436 0.706 0.500
Ni10 Ni 0.500 0.000 0.500
Ni11 Ni 0.564 0.294 0.500
Ni12 Ni 0.677 0.823 0.249
Ni13 Ni 0.677 0.823 0.751
Ni14 Ni 0.706 0.564 0.500
Ni15 Ni 0.794 0.064 0.500
Ni16 Ni 0.823 0.323 0.249
Ni17 Ni 0.823 0.323 0.751
Ni18 Ni 0.936 0.794 0.500
```

Distance to the lowest polymorph of the same formula   0.0000 eV per atom
Formation enthalpy at 0 K   -0.22 eV/atom
V   328.2 Å³/cell
Crystal system   tetragonal

---

No. 5
Ho2In5Ni | PBE | relaxed

CIF file:
```
data_Ho2In5Ni
_cell_length_a 11.001
_cell_length_b 11.001
_cell_length_c 11.001
_cell_angle_alpha 24.59
_cell_angle_beta 24.59
_cell_angle_gamma 24.59
_space_group_name_H-M_alt 'P 1'
_space_group_IT_number 1
loop_
_space_group_symop_operation_xyz
'x,y,z'
loop_
_atom_site_label
_atom_site_type_symbol
_atom_site_fract_x
_atom_site_fract_y
_atom_site_fract_z
Ho1 Ho 0.081 0.081 0.081
Ho2 Ho 0.919 0.919 0.919
In1 In 0.204 0.204 0.204
In2 In 0.356 0.356 0.356
In3 In 0.500 0.500 0.500
In4 In 0.644 0.644 0.644
In5 In 0.796 0.796 0.796
Ni1 Ni 0.000 0.000 0.000
```

Formation enthalpy at 0 K   -0.18 eV/atom
V   202.7 Å³/cell
Crystal system   trigonal

---

No. 6
HoInNi | PBE | relaxed

CIF file:
```
data_HoInNi
_cell_length_a 4.534
_cell_length_b 4.534
_cell_length_c 3.533
_cell_angle_alpha 90.00
_cell_angle_beta 90.00
_cell_angle_gamma 120.00
_space_group_name_H-M_alt 'P 1'
_space_group_IT_number 1
loop_
_space_group_symop_operation_xyz
'x,y,z'
loop_
_atom_site_label
_atom_site_type_symbol
_atom_site_fract_x
_atom_site_fract_y
_atom_site_fract_z
Ho1 Ho 0.000 0.000 0.000
In1 In 0.667 0.333 0.500
Ni1 Ni 0.333 0.667 0.500
```

Formation enthalpy at 0 K   -0.37 eV/atom
V   62.9 Å³/cell
Crystal system   hexagonal

---

No. 7
HoInNi3 | PBE | relaxed

CIF file:
```
data_HoInNi3
_cell_length_a 7.520
_cell_length_b 7.520
_cell_length_c 4.724
_cell_angle_alpha 90.00
_cell_angle_beta 90.00
_cell_angle_gamma 141.35
_space_group_name_H-M_alt 'P 1'
_space_group_IT_number 1
loop_
_space_group_symop_operation_xyz
'x,y,z'
loop_
_atom_site_label
_atom_site_type_symbol
_atom_site_fract_x
_atom_site_fract_y
_atom_site_fract_z
Ho1 Ho 0.202 0.798 0.750
Ho2 Ho 0.798 0.202 0.250
In1 In 0.431 0.569 0.250
In2 In 0.569 0.431 0.750
Ni1 Ni 0.000 0.000 0.000
Ni2 Ni 0.000 0.000 0.500
Ni3 Ni 0.139 0.378 0.750
Ni4 Ni 0.378 0.139 0.250
Ni5 Ni 0.622 0.861 0.750
Ni6 Ni 0.861 0.622 0.250
```

Formation enthalpy at 0 K   -0.27 eV/atom
V   166.8 Å³/cell
Crystal system   orthorhombic

---

No. 8
Ho5InNi2 | PBE | relaxed

CIF file:
```
data_Ho5InNi2
_cell_length_a 8.587
_cell_length_b 8.587
_cell_length_c 8.587
_cell_angle_alpha 127.08
_cell_angle_beta 127.08
_cell_angle_gamma 78.13
_space_group_name_H-M_alt 'P 1'
_space_group_IT_number 1
loop_
_space_group_symop_operation_xyz
'x,y,z'
loop_
_atom_site_label
_atom_site_type_symbol
_atom_site_fract_x
_atom_site_fract_y
_atom_site_fract_z
Ho1 Ho 0.000 0.000 0.000
Ho2 Ho 0.026 0.526 0.820
Ho3 Ho 0.205 0.026 0.500
Ho4 Ho 0.295 0.795 0.820
Ho5 Ho 0.474 0.295 0.500
Ho6 Ho 0.500 0.500 0.000
Ho7 Ho 0.526 0.705 0.500
Ho8 Ho 0.705 0.205 0.180
Ho9 Ho 0.795 0.974 0.500
Ho10 Ho 0.974 0.474 0.180
In1 In 0.250 0.250 0.000
In2 In 0.750 0.750 0.000
Ni1 Ni 0.127 0.373 0.500
Ni2 Ni 0.373 0.873 0.246
Ni3 Ni 0.627 0.127 0.754
Ni4 Ni 0.873 0.627 0.500
```

Formation enthalpy at 0 K   -0.36 eV/atom
V   390.5 Å³/cell
Crystal system   tetragonal

---

Question: formation enthalpy at 0 K of number 2 (Ho6InNi)?
Answer: 0.02 eV/atom

---

Question: Which value of formation enthalpy at 0 K does entry 8 give?
Answer: -0.36 eV/atom

---

Copy entry 1 word for word.
Ho2In8Ni | PBE | relaxed

CIF file:
```
data_Ho2In8Ni
_cell_length_a 4.627
_cell_length_b 4.627
_cell_length_c 12.093
_cell_angle_alpha 90.00
_cell_angle_beta 90.00
_cell_angle_gamma 90.00
_space_group_name_H-M_alt 'P 1'
_space_group_IT_number 1
loop_
_space_group_symop_operation_xyz
'x,y,z'
loop_
_atom_site_label
_atom_site_type_symbol
_atom_site_fract_x
_atom_site_fract_y
_atom_site_fract_z
Ho1 Ho 0.000 0.000 0.192
Ho2 Ho 0.000 0.000 0.808
In1 In 0.000 0.500 0.000
In2 In 0.000 0.500 0.378
In3 In 0.000 0.500 0.622
In4 In 0.500 0.000 0.000
In5 In 0.500 0.000 0.378
In6 In 0.500 0.000 0.622
In7 In 0.500 0.500 0.193
In8 In 0.500 0.500 0.807
Ni1 Ni 0.000 0.000 0.500
```

Formation enthalpy at 0 K   -0.32 eV/atom
V   258.9 Å³/cell
Crystal system   tetragonal

---

Copy entry 5 word for word.
Ho2In5Ni | PBE | relaxed

CIF file:
```
data_Ho2In5Ni
_cell_length_a 11.001
_cell_length_b 11.001
_cell_length_c 11.001
_cell_angle_alpha 24.59
_cell_angle_beta 24.59
_cell_angle_gamma 24.59
_space_group_name_H-M_alt 'P 1'
_space_group_IT_number 1
loop_
_space_group_symop_operation_xyz
'x,y,z'
loop_
_atom_site_label
_atom_site_type_symbol
_atom_site_fract_x
_atom_site_fract_y
_atom_site_fract_z
Ho1 Ho 0.081 0.081 0.081
Ho2 Ho 0.919 0.919 0.919
In1 In 0.204 0.204 0.204
In2 In 0.356 0.356 0.356
In3 In 0.500 0.500 0.500
In4 In 0.644 0.644 0.644
In5 In 0.796 0.796 0.796
Ni1 Ni 0.000 0.000 0.000
```

Formation enthalpy at 0 K   -0.18 eV/atom
V   202.7 Å³/cell
Crystal system   trigonal